Record 1
# LaGdB

A relaxed structure of LaGdB (GGA-PBE, OQMD via LeMat-Bulk).

CIF file:
```
data_LaGdB
_space_group_name_H-M_alt 'F -4 3 m'
_space_group_IT_number 216
_space_group_name_Hall 'F -4 2 3'
_cell_length_a 6.5881
_cell_length_b 6.5881
_cell_length_c 6.5881
_cell_angle_alpha 90.00
_cell_angle_beta 90.00
_cell_angle_gamma 90.00
loop_
_atom_site_label
_atom_site_fract_x
_atom_site_fract_y
_atom_site_fract_z
La1 0.0000 0.0000 0.0000
Gd1 0.0000 0.0000 0.5000
B1 0.2500 0.2500 0.7500
```

Values from the calculation:
- Total magnetization: 0.25 μB/f.u.
- Crystal system: cubic
- Energy relative to the lowest polymorph listed for this composition: 0.000 eV per atom

=====

Record 2
# PrTlHgS3

A relaxed structure of PrTlHgS3 (GGA-PBE, OQMD via LeMat-Bulk).

CIF file:
```
data_PrTlHgS3
_space_group_name_H-M_alt 'P 1 21/m 1'
_space_group_IT_number 11
_space_group_name_Hall '-P 2yb'
_cell_length_a 8.0003
_cell_length_b 4.2364
_cell_length_c 10.5247
_cell_angle_alpha 90.00
_cell_angle_beta 105.81
_cell_angle_gamma 90.00
loop_
_atom_site_label
_atom_site_fract_x
_atom_site_fract_y
_atom_site_fract_z
Pr1 0.2048 0.2500 0.1291
Tl1 0.2168 0.7500 0.7176
Hg1 0.4172 0.7500 0.3814
S1 0.0362 0.2500 0.8591
S2 0.2582 0.2500 0.4323
S3 0.4542 0.7500 0.1495
```

Values from the calculation:
- Total magnetization: 0.00 μB/f.u.
- Crystal system: monoclinic
- Energy relative to the lowest polymorph listed for this composition: 0.023 eV per atom

=====

Record 3
# HfCu2Hg2

A relaxed structure of HfCu2Hg2 (GGA-PBE, OQMD via LeMat-Bulk).

CIF file:
```
data_HfCu2Hg2
_space_group_name_H-M_alt 'I 4/m m m'
_space_group_IT_number 139
_space_group_name_Hall '-I 4 2'
_cell_length_a 3.7063
_cell_length_b 3.7063
_cell_length_c 13.4503
_cell_angle_alpha 90.00
_cell_angle_beta 90.00
_cell_angle_gamma 90.00
loop_
_atom_site_label
_atom_site_fract_x
_atom_site_fract_y
_atom_site_fract_z
Hf1 0.0000 0.0000 0.0000
Cu1 0.0000 0.5000 0.2500
Hg1 0.0000 0.0000 0.3904
```

Values from the calculation:
- Total magnetization: 0.01 μB/f.u.
- Crystal system: tetragonal
- ΔE_f: 0.253 eV per atom

=====

Record 4
# Dy2LuSbO6

A relaxed structure of Dy2LuSbO6 (GGA-PBE, OQMD via LeMat-Bulk).

CIF file:
```
data_Dy2LuSbO6
_space_group_name_H-M_alt 'P -1'
_space_group_IT_number 2
_space_group_name_Hall '-P 1'
_cell_length_a 5.1614
_cell_length_b 5.1662
_cell_length_c 5.9081
_cell_angle_alpha 108.41
_cell_angle_beta 105.47
_cell_angle_gamma 99.47
loop_
_atom_site_label
_atom_site_fract_x
_atom_site_fract_y
_atom_site_fract_z
Dy1 0.2471 0.2454 0.4719
Lu1 0.0000 0.5000 0.0000
Sb1 0.5000 0.0000 0.0000
O1 0.1757 0.6494 0.7361
O2 0.2527 0.2391 0.0845
O3 0.4036 0.8484 0.2539
```

Values from the calculation:
- Total magnetization: 0.00 μB/f.u.
- Calculated total energy: -7.278 eV per atom
- Crystal system: triclinic

=====

Record 5
# Li4CdGaAu2

A relaxed structure of Li4CdGaAu2 (GGA-PBE, OQMD via LeMat-Bulk).

CIF file:
```
data_Li4CdGaAu2
_space_group_name_H-M_alt 'P -4 m 2'
_space_group_IT_number 115
_space_group_name_Hall 'P -4 -2'
_cell_length_a 4.4748
_cell_length_b 4.4748
_cell_length_c 6.3757
_cell_angle_alpha 90.00
_cell_angle_beta 90.00
_cell_angle_gamma 90.00
loop_
_atom_site_label
_atom_site_fract_x
_atom_site_fract_y
_atom_site_fract_z
Li1 0.0000 0.0000 0.0000
Li2 0.0000 0.5000 0.7393
Li3 0.5000 0.5000 0.5000
Cd1 0.5000 0.5000 0.0000
Ga1 0.0000 0.0000 0.5000
Au1 0.0000 0.5000 0.2734
```

Values from the calculation:
- Calculated total energy: -2.729 eV per atom
- Crystal system: tetragonal

=====

Record 6
# Li4AlCd2Pd

A relaxed structure of Li4AlCd2Pd (GGA-PBE, OQMD via LeMat-Bulk).

CIF file:
```
data_Li4AlCd2Pd
_space_group_name_H-M_alt 'P -4 m 2'
_space_group_IT_number 115
_space_group_name_Hall 'P -4 -2'
_cell_length_a 4.4933
_cell_length_b 4.4933
_cell_length_c 6.4092
_cell_angle_alpha 90.00
_cell_angle_beta 90.00
_cell_angle_gamma 90.00
loop_
_atom_site_label
_atom_site_fract_x
_atom_site_fract_y
_atom_site_fract_z
Li1 0.0000 0.0000 0.0000
Li2 0.0000 0.5000 0.7322
Li3 0.5000 0.5000 0.5000
Al1 0.5000 0.5000 0.0000
Cd1 0.0000 0.5000 0.2488
Pd1 0.0000 0.0000 0.5000
```

Values from the calculation:
- Calculated total energy: -2.582 eV per atom
- Crystal system: tetragonal